# 1
A geometry-optimized CsAs2AuS4 structure. Source: the Alexandria database, functional PBE.

Its crystal system is orthorhombic.

The structure belongs to space group I222 (No. 23); the cell edges are 5.9104, 6.9037 and 11.4120 Å and the angles 90.00°, 90.00° and 90.00°. Symmetry generates all atoms from Cs at (0.0000, 0.0000, 0.0000), As at (0.0000, 0.5000, 0.2661), Au at (0.0000, 0.0000, 0.5000) and S at (0.2442, 0.1520, 0.6581).

# 2
A geometry-optimized Cs2Sb2As2Au structure. Source: the Alexandria database, functional PBE.

Its crystal system is monoclinic.

The structure belongs to space group C2/m (No. 12); the cell edges are 14.0943, 5.7699 and 8.4064 Å and the angles 90.00°, 126.37° and 90.00°. Symmetry generates all atoms from Cs at (0.0476, 0.0000, 0.3032), Sb at (0.2219, 0.5000, 0.1122), As at (0.2177, 0.5000, 0.7993) and Au at (0.0000, 0.5000, 0.0000).

# 3
A geometry-optimized Cs4Sb2As2Au structure. Source: the Alexandria database, functional PBE.

Its crystal system is monoclinic.

The structure belongs to space group C2/m (No. 12); the cell edges are 10.9568, 10.5770 and 6.6186 Å and the angles 90.00°, 103.79° and 90.00°. Symmetry generates all atoms from Cs at (0.1251, 0.1965, 0.2673), Sb at (0.1060, 0.5000, 0.9120), As at (0.1816, 0.0000, 0.8152) and Au at (0.0000, 0.5000, 0.5000).

# 4
A geometry-optimized CsAs2Au2Se6 structure. Source: the Alexandria database, functional PBE.

Its crystal system is triclinic.

The structure belongs to space group P-1 (No. 2); the cell edges are 7.3979, 8.4804 and 8.5196 Å and the angles 117.92°, 108.24° and 94.39°. Symmetry generates all atoms from Cs at (0.0000, 0.0000, 0.0000), As at (0.2110, 0.7556, 0.4441), Au at (0.4766, 0.5474, 0.7238), Se at (0.1899, 0.0668, 0.5267), Se at (0.4020, 0.8354, 0.7686) and Se at (0.4346, 0.7239, 0.2767).

Energy relative to the elements, uncorrected
In order: -1.64 -1.94 -2.69 -2.68
Unit: eV/f.u.